This record from Alexandria describes an optimized crystal structure of Nd3HgTe2. The functional is PBE.

abc: 6.358 9.016 13.381
angles: 90.00 90.00 89.71
Element x y z (fractional)
Te: 0.747 0.625 0.247
Te: 0.750 0.623 0.917
Te: 0.253 0.375 0.753
Te: 0.250 0.877 0.417
Te: 0.747 0.125 0.253
Te: 0.253 0.875 0.747
Te: 0.250 0.377 0.083
Te: 0.750 0.123 0.583
Nd: 0.247 0.126 0.250
Nd: 0.753 0.874 0.750
Nd: 0.746 0.378 0.419
Nd: 0.250 0.628 0.916
Nd: 0.254 0.122 0.919
Nd: 0.247 0.626 0.250
Nd: 0.254 0.622 0.581
Nd: 0.753 0.374 0.750
Nd: 0.750 0.872 0.416
Nd: 0.250 0.128 0.584
Nd: 0.750 0.372 0.084
Nd: 0.746 0.878 0.081
Hg: 0.246 0.875 0.086
Hg: 0.246 0.375 0.414
Hg: 0.754 0.625 0.586
Hg: 0.754 0.125 0.914

Summary:
energy above the lowest structure with this stoichiometry = 0.015 eV per atom
M_tot = 0.00 μB per formula unit
space group = No. 14
D(E_F) = 20.29 states/eV per cell